Compound: ZnCd4Cl
Source: the Alexandria database
Functional: PBE
Structure: relaxed

a b c (Å): 8.3697 8.3697 8.3697
angles (deg): 90.00 90.00 90.00
With the nearest neighbours (Å) after each atom.
Space group F-43m (No. 216)
Unique sites:
Zn 0.0000 0.0000 0.0000 x4  12 Cd 3.47, 4 Cl 3.62
Cd 0.1256 0.1256 0.6256 x16  6 Cd 2.94-2.97
Cl 0.2500 0.2500 0.2500 x4  12 Cd 3.47, 4 Zn 3.62

Summary:
Mass density ... 6.2 g/cm³
Magnetic moment ... 0.0 Bohr magnetons per cell
Raw total energy ... -1.0672 eV/atom
Volume ... 586 Å³/cell

***

Compound: Zn2CdCl
Source: the Alexandria database
Functional: PBE
Structure: relaxed

a b c (Å): 10.6732 3.3234 7.7371
angles (deg): 90.00 133.00 90.00
With the nearest neighbours (Å) after each atom.
Space group Cm (No. 8)
Unique sites:
Zn 0.0000 0.0000 0.0000 x2  2 Zn 2.58, 2 Cl 2.67, 2 Cd 2.82
Zn 0.0407 0.5000 0.2896 x2  2 Zn 2.58, 2 Cl 2.67, 2 Cd 2.82
Cd 0.2701 0.5000 0.1441 x2  4 Zn 2.82
Cl 0.2702 0.0000 0.6449 x2  4 Zn 2.67

Summary:
Mass density ... 4.6 g/cm³
Magnetic moment ... 0.0 Bohr magnetons per cell
Raw total energy ... -1.4630 eV/atom
Volume ... 201 Å³/cell

***

Compound: ZnCdCl2
Source: the Alexandria database
Functional: PBE
Structure: relaxed

a b c (Å): 12.0381 3.6804 6.5778
angles (deg): 90.00 122.29 90.00
With the nearest neighbours (Å) after each atom.
Space group C2/m (No. 12)
Unique sites:
Zn 0.0000 0.0000 0.0000 x2  2 Zn 3.68, 8 Cl 3.71-3.79, 4 Cd 3.77
Cd 0.0000 0.5000 0.5000 x2  4 Cl 2.56
Cl 0.1742 0.0000 0.6750 x4  2 Cd 2.56

Summary:
Mass density ... 3.4 g/cm³
Magnetic moment ... 0.0 Bohr magnetons per cell
Raw total energy ... -1.9312 eV/atom
Volume ... 246 Å³/cell

***

Compound: Zn2CdCl
Source: the Alexandria database
Functional: PBE
Structure: relaxed

a b c (Å): 4.9175 3.7950 5.1544
angles (deg): 90.00 108.72 90.00
With the nearest neighbours (Å) after each atom.
Space group Pm (No. 6)
Unique sites:
Zn 0.0000 0.0000 0.0000 x1  2 Zn 2.62, 2 Cl 2.79, 1 Cd 2.92
Zn 0.2829 0.5000 0.8479 x1  2 Zn 2.62, 1 Cl 2.64, 2 Cd 2.83
Cd 0.4716 0.0000 0.5348 x1  4 Zn 2.83-2.98, 2 Cl 2.99
Cl 0.7651 0.5000 0.2631 x1  3 Zn 2.64-2.79

Summary:
Mass density ... 5.1 g/cm³
Magnetic moment ... 0.0 Bohr magnetons per cell
Raw total energy ... -1.4275 eV/atom
Volume ... 91 Å³/cell

***

Compound: ZnCdCl2
Source: the Alexandria database
Functional: PBE
Structure: relaxed

a b c (Å): 6.7511 7.8091 5.0882
angles (deg): 90.00 129.95 90.00
With the nearest neighbours (Å) after each atom.
Space group C2/m (No. 12)
Unique sites:
Zn 0.0000 0.0000 0.0000 x2  4 Cl 2.76
Cd 0.0000 0.5000 0.0000 x2  4 Cl 2.76
Cl 0.2500 0.2500 0.5000 x4  2 Cd 2.76, 2 Zn 2.76

Summary:
Mass density ... 4.0 g/cm³
Magnetic moment ... 0.0 Bohr magnetons per cell
Raw total energy ... -1.7894 eV/atom
Volume ... 206 Å³/cell

***

Compound: Zn2CdCl
Source: the Alexandria database
Functional: PBE
Structure: relaxed

a b c (Å): 3.5361 6.0670 8.1446
angles (deg): 90.00 90.00 90.00
With the nearest neighbours (Å) after each atom.
Space group Cmmm (No. 65)
Unique sites:
Zn 0.0000 0.0000 0.2438 x4  2 Cl 2.66, 2 Cd 2.74
Cd 0.0000 0.5000 0.5000 x2  4 Zn 2.74
Cl 0.0000 0.5000 0.0000 x2  4 Zn 2.66

Summary:
Mass density ... 5.3 g/cm³
Magnetic moment ... 0.0 Bohr magnetons per cell
Raw total energy ... -1.4148 eV/atom
Volume ... 175 Å³/cell

***

Compound: ZnCdCl2
Source: the Alexandria database
Functional: PBE
Structure: relaxed

a b c (Å): 3.8544 3.8544 29.9269
angles (deg): 90.00 90.00 120.00
With the nearest neighbours (Å) after each atom.
Space group R-3m (No. 166, hexagonal axes)
Unique sites:
Zn 0.0000 0.0000 0.0000 x3  6 Zn 3.85, 6 Cl 4.16
Cd 0.0000 0.0000 0.5000 x3  6 Cl 2.67
Cl 0.0000 0.0000 0.2158 x6  3 Cd 2.67

Summary:
Mass density ... 3.2 g/cm³
Magnetic moment ... 0.0 Bohr magnetons per cell
Raw total energy ... -2.0439 eV/atom
Volume ... 385 Å³/cell

***

Compound: Zn2CdCl
Source: the Alexandria database
Functional: PBE
Structure: relaxed

a b c (Å): 3.9620 3.9620 11.1596
angles (deg): 90.00 90.00 90.00
With the nearest neighbours (Å) after each atom.
Space group I-4m2 (No. 119)
Unique sites:
Zn 0.0000 0.0000 0.0000 x2  4 Cl 2.80
Zn 0.0000 0.5000 0.2500 x2  4 Cd 2.80
Cd 0.0000 0.5000 0.7500 x2  4 Zn 2.80
Cl 0.0000 0.0000 0.5000 x2  4 Zn 2.80

Summary:
Mass density ... 5.3 g/cm³
Magnetic moment ... 0.0 Bohr magnetons per cell
Raw total energy ... -1.3066 eV/atom
Volume ... 175 Å³/cell

***

Compound: ZnCdCl2
Source: the Alexandria database
Functional: PBE
Structure: relaxed

a b c (Å): 3.8191 3.3907 8.1606
angles (deg): 90.00 98.52 90.00
With the nearest neighbours (Å) after each atom.
Space group Pm (No. 6)
Unique sites:
Zn 0.0000 0.0000 0.0000 x1  2 Cl 2.36
Cd 0.1183 0.5000 0.7425 x1  2 Cl 2.70, 2 Zn 2.79
Cl 0.4781 0.0000 0.5715 x1  2 Cd 2.70
Cl 0.8229 0.5000 0.1710 x1  2 Zn 2.36

Summary:
Mass density ... 4.0 g/cm³
Magnetic moment ... 0.0 Bohr magnetons per cell
Raw total energy ... -2.0616 eV/atom
Volume ... 105 Å³/cell

***

Compound: ZnCdCl2
Source: the Alexandria database
Functional: PBE
Structure: relaxed

a b c (Å): 7.0511 7.0511 7.0511
angles (deg): 90.00 90.00 90.00
With the nearest neighbours (Å) after each atom.
Space group Fm-3m (No. 225)
Unique sites:
Zn 0.0000 0.0000 0.0000 x4  8 Cl 3.05
Cd 0.0000 0.0000 0.5000 x4  8 Cl 3.05
Cl 0.2500 0.2500 0.2500 x8  4 Cd 3.05, 4 Zn 3.05

Summary:
Mass density ... 4.7 g/cm³
Magnetic moment ... 0.0 Bohr magnetons per cell
Raw total energy ... -1.6738 eV/atom
Volume ... 351 Å³/cell

***

Compound: Zn2CdCl6
Source: the Alexandria database
Functional: PBE
Structure: relaxed

a b c (Å): 13.3620 12.2057 7.2352
angles (deg): 90.00 108.21 90.00
With the nearest neighbours (Å) after each atom.
Space group C2/c (No. 15)
Unique sites:
Zn 0.2495 0.0317 0.2241 x8  4 Cl 2.27-2.34
Cd 0.0000 0.0829 0.2500 x4  6 Cl 2.58-2.77
Cl 0.1056 0.0883 0.6461 x8  1 Zn 2.34
Cl 0.1446 0.4872 0.9664 x8  2 Zn 2.27-2.31
Cl 0.1577 0.1913 0.2112 x8  1 Zn 2.29

Summary:
Mass density ... 2.7 g/cm³
Magnetic moment ... 0.0 Bohr magnetons per cell
Raw total energy ... -2.7203 eV/atom
Volume ... 1121 Å³/cell

***

Compound: Zn2CdCl
Source: the Alexandria database
Functional: PBE
Structure: relaxed

a b c (Å): 3.1547 5.7535 9.3193
angles (deg): 90.00 90.00 90.00
With the nearest neighbours (Å) after each atom.
Space group Imm2 (No. 44)
Unique sites:
Zn 0.0000 0.0000 0.0000 x2  2 Cl 2.52, 2 Zn 2.58
Zn 0.0000 0.5000 0.2804 x2  2 Zn 2.58, 2 Cd 2.89
Cd 0.0000 0.0000 0.5210 x2  2 Zn 2.89, 2 Cd 3.15
Cl 0.0000 0.5000 0.7106 x2  2 Zn 2.52

Summary:
Mass density ... 5.5 g/cm³
Magnetic moment ... 0.0 Bohr magnetons per cell
Raw total energy ... -1.4050 eV/atom
Volume ... 169 Å³/cell

***

Compound: Zn2CdCl
Source: the Alexandria database
Functional: PBE
Structure: relaxed

a b c (Å): 3.1991 3.1991 7.6013
angles (deg): 90.00 90.00 90.00
With the nearest neighbours (Å) after each atom.
Space group P4mm (No. 99)
Unique sites:
Zn 0.0000 0.0000 0.0000 x1  4 Zn 2.75, 4 Cl 2.94
Zn 0.5000 0.5000 0.2052 x1  4 Zn 2.75, 4 Cd 2.98
Cd 0.0000 0.0000 0.4611 x1  4 Zn 2.98, 4 Cl 3.17, 4 Cd 3.20
Cl 0.5000 0.5000 0.7536 x1  4 Zn 2.94, 4 Cd 3.17, 4 Cl 3.20

Summary:
Mass density ... 5.9 g/cm³
Magnetic moment ... 0.0 Bohr magnetons per cell
Raw total energy ... -1.4393 eV/atom
Volume ... 78 Å³/cell

***

Compound: Zn2CdCl
Source: the Alexandria database
Functional: PBE
Structure: relaxed

a b c (Å): 7.5917 7.5917 6.0542
angles (deg): 90.00 90.00 90.00
With the nearest neighbours (Å) after each atom.
Space group I-42d (No. 122)
Unique sites:
Zn 0.2494 0.2500 0.1250 x8  2 Cl 2.79, 2 Cd 2.79, 2 Zn 3.03
Cd 0.0000 0.0000 0.5000 x4  4 Zn 2.79, 2 Cl 3.03
Cl 0.0000 0.0000 0.0000 x4  4 Zn 2.79, 2 Cd 3.03

Summary:
Mass density ... 5.3 g/cm³
Magnetic moment ... 0.0 Bohr magnetons per cell
Raw total energy ... -1.4115 eV/atom
Volume ... 349 Å³/cell

***

Compound: ZnCdCl2
Source: the Alexandria database
Functional: PBE
Structure: relaxed

a b c (Å): 3.9179 3.9179 13.4084
angles (deg): 90.00 90.00 90.00
With the nearest neighbours (Å) after each atom.
Space group I-4m2 (No. 119)
Unique sites:
Zn 0.0000 0.0000 0.0000 x2  4 Cl 2.77
Cd 0.0000 0.5000 0.7500 x2  4 Cl 2.77
Cl 0.0000 0.0000 0.5000 x2  4 Zn 2.77
Cl 0.0000 0.5000 0.2500 x2  4 Cd 2.77

Summary:
Mass density ... 4.0 g/cm³
Magnetic moment ... 0.0 Bohr magnetons per cell
Raw total energy ... -1.7586 eV/atom
Volume ... 206 Å³/cell